Pr4MgTc after structural relaxation, computed with GGA-PBE.

a b c (Å): 8.144 8.144 6.390
angles (deg): 100.67 100.67 110.20
Fractional positions:
Pr (0.059, 0.728, 0.947)
Pr (0.198, 0.366, 0.625)
Pr (0.272, 0.941, 0.553)
Pr (0.366, 0.198, 0.125)
Pr (0.634, 0.802, 0.875)
Pr (0.728, 0.059, 0.447)
Pr (0.802, 0.634, 0.375)
Pr (0.941, 0.272, 0.053)
Mg (0.379, 0.621, 0.250)
Mg (0.621, 0.379, 0.750)
Tc (0.000, 0.000, 0.250)
Tc (0.000, 0.000, 0.750)

Calculated values
For the total magnetization, the calculation gives 0.00 Bohr magnetons per cell. The calculation puts the formation energy from the elements at 0.08 kcal/mol of atoms.



TaHgPCl2 after structural relaxation, computed with GGA-PBE.

a b c (Å): 4.877 4.877 4.959
angles (deg): 90.00 90.00 90.00
Fractional positions:
Ta (0.000, 0.000, 0.000)
Hg (0.500, 0.500, 0.500)
P (0.000, 0.000, 0.500)
Cl (0.000, 0.500, 0.000)
Cl (0.500, 0.000, 0.000)

Calculated values
The value obtained for the uncorrected formation energy is -263.2 meV/atom. For the distance to the lowest polymorph of the same formula, the calculation gives 0.0000 eV per atom. For the total magnetization, the calculation gives 0.00 Bohr magnetons per cell.



Sm7Dy2Er2 after structural relaxation, computed with GGA-PBE.

a b c (Å): 6.867 6.867 9.572
angles (deg): 90.00 90.00 122.38
Fractional positions:
Sm (0.000, 0.000, 0.000)
Sm (0.000, 0.500, 0.315)
Sm (0.000, 0.500, 0.685)
Sm (0.500, 0.000, 0.315)
Sm (0.500, 0.000, 0.685)
Sm (0.500, 0.500, 0.182)
Sm (0.500, 0.500, 0.818)
Dy (0.250, 0.250, 0.500)
Dy (0.750, 0.750, 0.500)
Er (0.270, 0.730, 0.000)
Er (0.730, 0.270, 0.000)

Calculated values
For the distance to the lowest polymorph of the same formula, the calculation gives 0.2058 eV per atom. For the total magnetization, the calculation gives 0.00 Bohr magnetons per cell. The calculation puts the formation energy from the elements at 7.98 kcal/mol of atoms.



Rb3TmAg2Br9 after structural relaxation, computed with GGA-PBE.

a b c (Å): 7.840 7.840 9.740
angles (deg): 90.00 90.00 120.00
Fractional positions:
Rb (0.000, 0.000, 0.000)
Rb (0.333, 0.667, 0.687)
Rb (0.667, 0.333, 0.313)
Tm (0.000, 0.000, 0.500)
Ag (0.333, 0.667, 0.156)
Ag (0.667, 0.333, 0.844)
Br (0.000, 0.500, 0.000)
Br (0.166, 0.331, 0.337)
Br (0.166, 0.834, 0.337)
Br (0.331, 0.166, 0.663)
Br (0.500, 0.000, 0.000)
Br (0.500, 0.500, 0.000)
Br (0.669, 0.834, 0.337)
Br (0.834, 0.166, 0.663)
Br (0.834, 0.669, 0.663)

Calculated values
The value obtained for the uncorrected formation energy is -1289.1 meV/atom. For the total magnetization, the calculation gives 0.00 Bohr magnetons per cell.



VASP energy, record by record: -5.18, -4.51, -4.32, -3.16 eV per atom